1.
VASP calculation (PBE-GGA) on TbNdCd2 after structural relaxation.

Unit cell a=5.3876 b=5.3876 c=5.3876 alpha=60.00 beta=60.00 gamma=60.00
Positions (direct):
Tb: 0.0000 0.0000 0.0000
Nd: 0.5000 0.5000 0.5000
Cd: 0.2500 0.2500 0.2500
Cd: 0.7500 0.7500 0.7500

total magnetic moment: 0.75 μB/f.u.
E above lowest polymorph: 0.0 meV per atom
DOS at the Fermi energy: 4.19 states/eV/cell

2.
VASP calculation (PBE-GGA) on Tb3Nd5Cd after structural relaxation.

Unit cell a=9.4272 b=9.4272 c=9.2737 alpha=114.56 beta=114.56 gamma=77.12
Positions (direct):
Tb: 0.0000 0.0000 0.0000
Tb: 0.0000 0.0000 0.5000
Tb: 0.2992 0.2992 0.2158
Tb: 0.3565 0.3565 0.9103
Tb: 0.6435 0.6435 0.0897
Tb: 0.7008 0.7008 0.7842
Nd: 0.0668 0.5981 0.3083
Nd: 0.1844 0.1844 0.4272
Nd: 0.2570 0.7430 0.0000
Nd: 0.4019 0.9332 0.6917
Nd: 0.4482 0.4482 0.6480
Nd: 0.5518 0.5518 0.3520
Nd: 0.5981 0.0668 0.3083
Nd: 0.7430 0.2570 0.0000
Nd: 0.8156 0.8156 0.5728
Nd: 0.9332 0.4019 0.6917
Cd: 0.1314 0.1314 0.8569
Cd: 0.8686 0.8686 0.1431

VASP energy: -3.840 eV/atom
total magnetic moment: 0.00 μB/f.u.
DOS at the Fermi energy: 26.15 states/eV/cell

3.
VASP calculation (PBE-GGA) on Tb4Nd3Cd after structural relaxation.

Unit cell a=3.6296 b=3.6296 c=19.3462 alpha=90.00 beta=90.00 gamma=90.00
Positions (direct):
Tb: 0.0000 0.0000 0.1049
Tb: 0.0000 0.0000 0.3679
Tb: 0.0000 0.0000 0.6321
Tb: 0.0000 0.0000 0.8951
Nd: 0.5000 0.5000 0.2356
Nd: 0.5000 0.5000 0.5000
Nd: 0.5000 0.5000 0.7644
Cd: 0.5000 0.5000 0.0000

total magnetic moment: 0.00 μB/f.u.
E above lowest polymorph: 0.0 meV per atom
DOS at the Fermi energy: 9.86 states/eV/cell

4.
VASP calculation (PBE-GGA) on Tb2Nd8Cd after structural relaxation.

Unit cell a=6.2822 b=6.2822 c=12.8133 alpha=102.98 beta=102.98 gamma=48.20
Positions (direct):
Tb: 0.1849 0.1849 0.2617
Tb: 0.8151 0.8151 0.7383
Nd: 0.0903 0.0903 0.6404
Nd: 0.2548 0.2548 0.9124
Nd: 0.3594 0.3594 0.5475
Nd: 0.4634 0.4634 0.1773
Nd: 0.5366 0.5366 0.8227
Nd: 0.6406 0.6406 0.4525
Nd: 0.7452 0.7452 0.0876
Nd: 0.9097 0.9097 0.3596
Cd: 0.0000 0.0000 0.0000

total magnetic moment: 0.00 μB/f.u.
E above lowest polymorph: 2.7 meV per atom
DOS at the Fermi energy: 15.21 states/eV/cell

5.
VASP calculation (PBE-GGA) on TbNdCd14 after structural relaxation.

Unit cell a=6.6636 b=6.6636 c=8.4787 alpha=90.00 beta=90.00 gamma=90.00
Positions (direct):
Tb: 0.0000 0.0000 0.0000
Nd: 0.5000 0.5000 0.0000
Cd: 0.0000 0.0000 0.5000
Cd: 0.0000 0.5000 0.0000
Cd: 0.0000 0.5000 0.5000
Cd: 0.2475 0.2475 0.2606
Cd: 0.2475 0.2475 0.7394
Cd: 0.2475 0.7525 0.2606
Cd: 0.2475 0.7525 0.7394
Cd: 0.5000 0.0000 0.0000
Cd: 0.5000 0.0000 0.5000
Cd: 0.5000 0.5000 0.5000
Cd: 0.7525 0.2475 0.2606
Cd: 0.7525 0.2475 0.7394
Cd: 0.7525 0.7525 0.2606
Cd: 0.7525 0.7525 0.7394

VASP energy: -1.535 eV/atom
total magnetic moment: 0.00 μB/f.u.
DOS at the Fermi energy: 5.57 states/eV/cell

6.
VASP calculation (PBE-GGA) on Tb5Nd8Cd after structural relaxation.

Unit cell a=8.4617 b=8.6794 c=8.6813 alpha=77.34 beta=60.85 gamma=60.86
Positions (direct):
Tb: 0.0000 0.0000 0.0000
Tb: 0.0001 0.3689 0.6306
Tb: 0.0126 0.9889 0.6201
Tb: 0.4466 0.1842 0.8151
Tb: 0.6217 0.3798 0.0104
Nd: 0.1269 0.5217 0.1534
Nd: 0.3156 0.5251 0.4747
Nd: 0.3155 0.8439 0.1561
Nd: 0.4511 0.6489 0.7306
Nd: 0.4515 0.0996 0.2791
Nd: 0.8032 0.8462 0.4771
Nd: 0.8296 0.2690 0.3522
Nd: 0.8306 0.7202 0.9001
Cd: 0.6361 0.6842 0.3152

VASP energy: -4.291 eV/atom
total magnetic moment: 0.00 μB/f.u.
DOS at the Fermi energy: 16.90 states/eV/cell

7.
VASP calculation (PBE-GGA) on Tb4Nd3Cd2 after structural relaxation.

Unit cell a=9.5146 b=9.5146 c=6.4424 alpha=97.55 beta=97.55 gamma=79.37
Positions (direct):
Tb: 0.1505 0.6882 0.9273
Tb: 0.1631 0.4665 0.4212
Tb: 0.3118 0.8495 0.5727
Tb: 0.4665 0.1631 0.9212
Tb: 0.5335 0.8369 0.0788
Tb: 0.6882 0.1505 0.4273
Tb: 0.8369 0.5335 0.5788
Tb: 0.8495 0.3118 0.0727
Nd: 0.0366 0.1685 0.5794
Nd: 0.1685 0.0366 0.0794
Nd: 0.4734 0.5266 0.2500
Nd: 0.5266 0.4734 0.7500
Nd: 0.8315 0.9634 0.9206
Nd: 0.9634 0.8315 0.4206
Cd: 0.1721 0.3728 0.9296
Cd: 0.3728 0.1721 0.4296
Cd: 0.6272 0.8279 0.5704
Cd: 0.8279 0.6272 0.0704

VASP energy: -3.873 eV/atom
total magnetic moment: 0.00 μB/f.u.
DOS at the Fermi energy: 20.95 states/eV/cell

8.
VASP calculation (PBE-GGA) on Tb8Nd2Cd after structural relaxation.

Unit cell a=9.3798 b=9.3798 c=7.9245 alpha=104.94 beta=104.94 gamma=31.01
Positions (direct):
Tb: 0.0446 0.0446 0.2224
Tb: 0.1339 0.1339 0.6749
Tb: 0.3199 0.3199 0.5902
Tb: 0.4117 0.4117 0.0555
Tb: 0.5883 0.5883 0.9445
Tb: 0.6801 0.6801 0.4098
Tb: 0.8661 0.8661 0.3251
Tb: 0.9554 0.9554 0.7776
Nd: 0.2233 0.2233 0.1369
Nd: 0.7767 0.7767 0.8631
Cd: 0.5000 0.5000 0.5000

total magnetic moment: 0.00 μB/f.u.
E above lowest polymorph: 0.0 meV per atom
DOS at the Fermi energy: 15.41 states/eV/cell

9.
VASP calculation (PBE-GGA) on TbNd2Cd after structural relaxation.

Unit cell a=3.7171 b=3.7171 c=9.0522 alpha=90.00 beta=90.00 gamma=90.00
Positions (direct):
Tb: 0.0000 0.0000 0.0000
Nd: 0.5000 0.5000 0.2732
Nd: 0.5000 0.5000 0.7268
Cd: 0.0000 0.0000 0.5000

total magnetic moment: 0.00 μB/f.u.
E above lowest polymorph: 0.0 meV per atom
DOS at the Fermi energy: 4.53 states/eV/cell

10.
VASP calculation (PBE-GGA) on Tb12Nd7Cd after structural relaxation.

Unit cell a=8.7846 b=8.7846 c=8.7846 alpha=89.31 beta=89.31 gamma=89.31
Positions (direct):
Tb: 0.0056 0.3311 0.8910
Tb: 0.1090 0.9944 0.6689
Tb: 0.1224 0.3402 0.4625
Tb: 0.3311 0.8910 0.0056
Tb: 0.3402 0.4625 0.1224
Tb: 0.4625 0.1224 0.3402
Tb: 0.5375 0.8776 0.6598
Tb: 0.6598 0.5375 0.8776
Tb: 0.6689 0.1090 0.9944
Tb: 0.8776 0.6598 0.5375
Tb: 0.8910 0.0056 0.3311
Tb: 0.9944 0.6689 0.1090
Nd: 0.2131 0.6192 0.7678
Nd: 0.2322 0.7869 0.3808
Nd: 0.3808 0.2322 0.7869
Nd: 0.5000 0.5000 0.5000
Nd: 0.6192 0.7678 0.2131
Nd: 0.7678 0.2131 0.6192
Nd: 0.7869 0.3808 0.2322
Cd: 0.0000 0.0000 0.0000

VASP energy: -4.311 eV/atom
total magnetic moment: 0.00 μB/f.u.
DOS at the Fermi energy: 35.01 states/eV/cell

11.
VASP calculation (PBE-GGA) on Tb5Nd4Cd after structural relaxation.

Unit cell a=8.1478 b=8.1478 c=8.1478 alpha=97.32 beta=97.32 gamma=138.19
Positions (direct):
Tb: 0.0000 0.0000 0.0000
Tb: 0.5164 0.5164 0.6324
Tb: 0.5164 0.8840 0.0000
Tb: 0.8840 0.5164 0.0000
Tb: 0.8840 0.8840 0.3676
Nd: 0.1879 0.5045 0.3165
Nd: 0.1879 0.8714 0.6835
Nd: 0.5045 0.1879 0.3165
Nd: 0.8714 0.1879 0.6835
Cd: 0.4803 0.4803 0.0000

total magnetic moment: 0.00 μB/f.u.
E above lowest polymorph: 58.5 meV per atom
DOS at the Fermi energy: 12.79 states/eV/cell

12.
VASP calculation (PBE-GGA) on Tb4Nd3Cd4 after structural relaxation.

Unit cell a=9.6796 b=9.6796 c=9.6796 alpha=147.85 beta=136.02 gamma=55.52
Positions (direct):
Tb: 0.0524 0.8197 0.2327
Tb: 0.4131 0.1803 0.2327
Tb: 0.5869 0.8197 0.7673
Tb: 0.9476 0.1803 0.7673
Nd: 0.0000 0.5000 0.5000
Nd: 0.3945 0.3945 0.0000
Nd: 0.6055 0.6055 0.0000
Cd: 0.1825 0.6825 0.5000
Cd: 0.2983 0.0000 0.2983
Cd: 0.7017 0.0000 0.7017
Cd: 0.8175 0.3175 0.5000

VASP energy: -3.426 eV/atom
total magnetic moment: 0.00 μB/f.u.
DOS at the Fermi energy: 12.02 states/eV/cell